ScTeN2 | Alexandria via LeMat-Bulk | meta-GGA SCAN | PBEsol geometry; crystal system = trigonal; density = 5.7 Mg/m³; DOS at the Fermi energy = 1.4 states/eV/f.u.; raw total energy = -17.9808 eV/atom; E_form (uncorrected) = -463 meV per atom
1.0
3.288 0.000 0.000
1.644 2.847 0.000
1.644 0.949 6.289
Te Sc N
1 1 2
direct
0.000 0.000 0.000
0.500 0.500 0.500
0.892 0.892 0.323
0.108 0.108 0.677

ReNiP2S | Alexandria via LeMat-Bulk | meta-GGA SCAN | PBEsol geometry; crystal system = tetragonal; density = 7.5 Mg/m³; DOS at the Fermi energy = 4.0 states/eV/f.u.; raw total energy = -22.2956 eV/atom; E_form (uncorrected) = 1244 meV per atom
1.0
-1.094 1.816 3.626
1.725 -3.190 2.118
3.724 2.070 0.086
P Re Ni S
2 1 1 1
direct
0.000 0.500 0.000
0.500 0.000 0.000
0.500 0.500 0.500
0.000 0.000 0.000
0.000 0.000 0.500

Q: Look up the raw total energy of the first one.
A: -17.9808 eV/atom

Q: Which of these has the highest DOS at the Fermi energy?
A: ReNiP2S